SrCoO2F, relaxed, DFT PBE+U; symmetry = P4/mmm, No. 123; M_tot = 0.552 μB per atom; DFT total energy = -0.2129 Ha/atom
1.0
3.831 0.000 0.000
0.000 3.831 0.000
0.000 0.000 4.168
Sr Co O F
1 1 2 1
direct
0.000 0.000 0.000
0.500 0.500 0.500
0.000 0.500 0.500
0.500 0.000 0.500
0.500 0.500 0.000